(1)
KAgBr (GGA-PBE, optimized geometry); space group = P3m1, No. 156; crystal system = trigonal; relative energy among the computed polymorphs = 49 meV per atom
1.0
-2.1704 2.8413 3.7204
-2.5824 -3.9661 -2.0558
1.6169 -2.5520 2.8923
Ag Br K
1 1 1
direct
0.0000 0.0000 0.1671
0.6667 0.3333 0.1657
0.3333 0.6667 0.6672

(2)
K2AgBr4 (GGA-PBE, optimized geometry); space group = C2/m, No. 12; crystal system = monoclinic; relative energy among the computed polymorphs = 47 meV per atom
1.0
-2.2971 -1.2839 -3.5323
6.8363 -3.4794 -3.1810
-4.2480 -2.8514 6.5454
K Ag Br
2 1 4
direct
0.6594 0.6206 0.3187
0.3406 0.3794 0.6813
0.0000 0.0000 0.0000
0.9739 0.2825 0.9478
0.0261 0.7175 0.0522
0.6514 0.2025 0.3028
0.3486 0.7975 0.6972

Across the entries above, formation energy from raw total energies takes the values -484.9; -1055.7 meV/atom, respectively.
Across the entries above, M_tot takes the values 0.00; 0.00 μB per cell, respectively.
Across the entries above, density of states at the Fermi level takes the values 1.31; 3.35 states/eV per cell, respectively.